Entry from Alexandria via LeMat-Bulk: VSbO4 after structural relaxation (PBE+U).

**Total energy**: -6.99 eV per atom

Geometry as POSCAR:
```
VSbO4
1.0
5.643 0.000 0.000
0.000 4.692 0.000
-2.137 0.000 5.233
V Sb O
2 2 8
Direct
0.000 0.000 0.000 V
0.000 0.500 0.500 V
0.500 0.000 0.500 Sb
0.500 0.500 0.000 Sb
0.159 0.191 0.354 O
0.159 0.309 0.854 O
0.350 0.702 0.660 O
0.350 0.798 0.160 O
0.650 0.202 0.840 O
0.650 0.298 0.340 O
0.841 0.691 0.146 O
0.841 0.809 0.646 O
```